Computed, not measured: a geometry-optimized Ba2RuPtO6 structure at the PBE-GGA level of DFT.

Lattice parameters (Å, degrees): 5.855 5.855 10.465 73.75 73.75 60.00
Last column: magnetic moment on the atom in μB.
Element x y z (fractional)
Ba 0.877 0.877 0.369  0.01
Ba 0.123 0.123 0.631  0.01
Ba 0.712 0.712 0.865  0.01
Ba 0.288 0.288 0.135  0.01
Ru 0.000 0.000 0.000  2.02
Ru 0.500 0.500 0.500  1.26
Pt 0.590 0.590 0.229  0.29
Pt 0.410 0.410 0.771  0.29
O 0.852 0.390 0.367  0.08
O 0.390 0.852 0.367  0.08
O 0.390 0.390 0.367  0.08
O 0.148 0.610 0.633  0.08
O 0.610 0.148 0.633  0.08
O 0.610 0.610 0.633  0.08
O 0.720 0.200 0.880  0.12
O 0.200 0.720 0.880  0.12
O 0.200 0.200 0.880  0.12
O 0.280 0.800 0.120  0.12
O 0.800 0.280 0.120  0.12
O 0.800 0.800 0.120  0.12

E_form (uncorrected) ... -149 kJ/mol of atoms
Fermi-level density of states ... 10.2 states/eV per cell
SG ... R-3m (166)